CeEuDyHo: relaxed, PBE.

a = 5.740 Å, b = 5.740 Å, c = 5.740 Å
α = 60.00°, β = 60.00°, γ = 60.00°
Site moments in Bohr magnetons follow the coordinates.
Sites, in units of the cell vectors:
Eu1 0.750 0.750 0.750  6.87
Dy1 0.500 0.500 0.500  0.14
Ho1 0.000 0.000 0.000  0.14
Ce1 0.250 0.250 0.250  0.87

Values from the calculation:
For the formation energy, the calculation gives 224.8 meV per atom.

***

CdP2Pb: relaxed, PBE.

a = 5.006 Å, b = 5.006 Å, c = 5.006 Å
α = 116.68°, β = 108.57°, γ = 103.45°
Sites, in units of the cell vectors:
P1 0.571 0.571 0.000
Pb1 0.250 0.750 0.500
Cd1 0.750 0.250 0.500
P2 0.929 0.929 0.000

Values from the calculation:
For the formation energy, the calculation gives 321.7 meV per atom.

***

GaSn3Ir: relaxed, PBE.

a = 5.183 Å, b = 5.183 Å, c = 5.183 Å
α = 90.00°, β = 90.00°, γ = 90.00°
Sites, in units of the cell vectors:
Ga1 0.500 0.500 0.500
Ir1 0.000 0.000 0.000
Sn1 0.000 0.500 0.000
Sn2 0.500 0.000 0.000
Sn3 0.000 0.000 0.500

Values from the calculation:
As for the energy above the most stable polymorph in this dataset: 385 meV/atom. For the formation energy, the calculation gives 212.7 meV per atom.

***

Ti2FeCoH: relaxed, PBE.

a = 4.117 Å, b = 4.117 Å, c = 3.233 Å
α = 90.00°, β = 90.00°, γ = 90.00°
Site moments in Bohr magnetons follow the coordinates.
Sites, in units of the cell vectors:
H1 0.000 0.000 0.000  0.00
Ti1 0.000 0.500 0.000  -0.19
Fe1 0.500 0.500 0.500  0.79
Co1 0.000 0.000 0.500  0.16
Ti2 0.500 0.000 0.000  -0.19

Values from the calculation:
As for the energy above the most stable polymorph in this dataset: 0 meV/atom.

***

Number 1: calculated volume 33.4 Å³/atom, electronic total energy -6.122 eV/atom. Number 2: calculated volume 23.8 Å³/atom, electronic total energy -3.539 eV/atom. Number 3: calculated volume 27.8 Å³/atom, electronic total energy -4.567 eV/atom. Number 4: calculated volume 11.0 Å³/atom, electronic total energy -7.261 eV/atom.